DFT (PBE) results for an optimized crystal structure of Li2TlSb2.

Excess energy over the best structure of this formula in the dataset   21 meV/atom
Space group   No. 139
Calculated total energy   -3.16 eV per atom

Cell and atoms, written as POSCAR:
```
Li2TlSb2
1.0
-2.411 2.411 5.740
2.411 -2.411 5.740
2.411 2.411 -5.740
Li Tl Sb
2 1 2
Cartesian
2.411 0.000 2.870
0.000 2.411 2.870
0.000 0.000 0.000
0.000 0.000 4.364
0.000 0.000 7.116
```